Below is crystalline SrPrP2Rh5 at its relaxed geometry, with properties calculated at the PBE-GGA level.

Output
* ρ: 8.26 g cm⁻³
* DOS(E_F): 4.83 states/eV per cell
* DFT total energy: -61.377 eV/cell

a b c (Å): 4.1758 4.1758 9.2835
angles (deg): 90.00 90.00 90.00
Last column: nearest neighbours and their distance in Å.
Fractional coordinates of all 9 atoms:
Sr (0.0000, 0.0000, 0.0000)  8 Rh 3.23, 8 P 3.33
Pr (0.0000, 0.0000, 0.5000)  12 Rh 2.95-3.01
P (0.5000, 0.5000, 0.1661)  4 Rh 2.28
P (0.5000, 0.5000, 0.8339)  4 Rh 2.28
Rh (0.0000, 0.5000, 0.2657)  2 P 2.28
Rh (0.0000, 0.5000, 0.7343)  2 P 2.28
Rh (0.5000, 0.0000, 0.2657)  2 P 2.28
Rh (0.5000, 0.0000, 0.7343)  2 P 2.28
Rh (0.5000, 0.5000, 0.5000)  4 Pr 2.95, 8 Rh 3.01, 2 P 3.10

---

Below is crystalline Pr2TaP3Rh12 at its relaxed geometry, with properties calculated at the PBE-GGA level.

Output
* ρ: 9.16 g cm⁻³
* DOS(E_F): 15.90 states/eV per cell
* DFT total energy: -130.029 eV/cell

a b c (Å): 7.1687 7.1687 7.1687
angles (deg): 72.17 72.17 72.17
Last column: nearest neighbours and their distance in Å.
Fractional coordinates of all 18 atoms:
Pr (0.1040, 0.1040, 0.1040)  3 Rh 2.77
Pr (0.8960, 0.8960, 0.8960)  3 Rh 2.77
Ta (0.5000, 0.5000, 0.5000)  6 Rh 2.54
P (0.0000, 0.5000, 0.5000)  6 Rh 2.20-2.28
P (0.5000, 0.0000, 0.5000)  6 Rh 2.20-2.28
P (0.5000, 0.5000, 0.0000)  6 Rh 2.20-2.28
Rh (0.1309, 0.6434, 0.6434)  1 P 2.20
Rh (0.1761, 0.1761, 0.5906)  2 P 2.28
Rh (0.1761, 0.5906, 0.1761)  2 P 2.28
Rh (0.3566, 0.3566, 0.8691)  1 P 2.20
Rh (0.3566, 0.8691, 0.3566)  1 P 2.20
Rh (0.4094, 0.8239, 0.8239)  2 P 2.28
Rh (0.5906, 0.1761, 0.1761)  2 P 2.28
Rh (0.6434, 0.1309, 0.6434)  1 P 2.20
Rh (0.6434, 0.6434, 0.1309)  1 P 2.20
Rh (0.8239, 0.4094, 0.8239)  2 P 2.28
Rh (0.8239, 0.8239, 0.4094)  2 P 2.28
Rh (0.8691, 0.3566, 0.3566)  1 P 2.20

---

Below is crystalline TbPr2P3Rh4 at its relaxed geometry, with properties calculated at the PBE-GGA level.

Output
* ρ: 8.48 g cm⁻³
* DOS(E_F): 5.71 states/eV per cell
* DFT total energy: -70.306 eV/cell

a b c (Å): 4.0574 4.0574 11.2448
angles (deg): 90.00 90.00 90.00
Last column: nearest neighbours and their distance in Å.
Fractional coordinates of all 10 atoms:
Tb (0.0000, 0.0000, 0.0000)  4 Rh 2.78, 4 P 2.87
Pr (0.0000, 0.5000, 0.7242)  4 P 3.09, 8 Rh 3.11-3.24
Pr (0.5000, 0.0000, 0.2758)  4 P 3.09, 8 Rh 3.11-3.24
P (0.0000, 0.5000, 0.3771)  5 Rh 2.35-2.45
P (0.5000, 0.0000, 0.6229)  5 Rh 2.35-2.45
P (0.5000, 0.5000, 0.0000)  4 Rh 2.78, 4 Tb 2.87
Rh (0.0000, 0.0000, 0.5000)  4 P 2.45
Rh (0.0000, 0.5000, 0.1685)  1 P 2.35
Rh (0.5000, 0.0000, 0.8315)  1 P 2.35
Rh (0.5000, 0.5000, 0.5000)  4 P 2.45

---

Below is crystalline PrTcP2Rh at its relaxed geometry, with properties calculated at the PBE-GGA level.

Output
* ρ: 7.69 g cm⁻³
* DOS(E_F): 1.85 states/eV per cell
* DFT total energy: -38.365 eV/cell

a b c (Å): 5.9949 5.9949 5.9949
angles (deg): 140.29 140.29 57.41
Last column: nearest neighbours and their distance in Å.
Fractional coordinates of all 5 atoms:
Pr (0.0000, 0.0000, 0.0000)  8 P 3.21, 4 Tc 3.33, 4 Rh 3.33
Tc (0.7500, 0.2500, 0.5000)  4 P 2.36
P (0.3642, 0.3642, 0.0000)  2 Tc 2.36, 2 Rh 2.36
P (0.6358, 0.6358, 0.0000)  2 Tc 2.36, 2 Rh 2.36
Rh (0.2500, 0.7500, 0.5000)  4 P 2.36

---

Below is crystalline Pr4Te2PRh at its relaxed geometry, with properties calculated at the PBE-GGA level.

Output
* ΔE_f (raw): -1.2494 eV per atom
* ρ: 6.64 g cm⁻³
* DOS(E_F): 6.40 states/eV per cell
* DFT total energy: -48.158 eV/cell

a b c (Å): 7.5373 4.2838 7.7735
angles (deg): 90.00 108.24 90.00
Last column: nearest neighbours and their distance in Å.
Fractional coordinates of all 8 atoms:
Pr (0.2364, 0.0000, 0.2124)  2 Rh 2.94, 1 P 2.95, 3 Te 3.27-3.28
Pr (0.2593, 0.5000, 0.7864)  1 Rh 2.93, 2 P 2.96, 3 Te 3.26-3.28
Pr (0.7407, 0.5000, 0.2136)  1 Rh 2.93, 2 P 2.96, 3 Te 3.26-3.28
Pr (0.7636, 0.0000, 0.7876)  2 Rh 2.94, 1 P 2.95, 3 Te 3.27-3.28
Te (0.0000, 0.0000, 0.5000)  6 Pr 3.26-3.27
Te (0.5000, 0.5000, 0.5000)  6 Pr 3.28
P (0.5000, 0.0000, 0.0000)  6 Pr 2.95-2.96
Rh (0.0000, 0.5000, 0.0000)  6 Pr 2.93-2.94

---

Below is crystalline Pr6Te3PRh2 at its relaxed geometry, with properties calculated at the PBE-GGA level.

Output
* ΔE_f (raw): -1.1584 eV per atom
* ρ: 6.79 g cm⁻³
* DOS(E_F): 9.32 states/eV per cell
* DFT total energy: -72.115 eV/cell

a b c (Å): 7.4539 7.4539 7.8552
angles (deg): 99.20 99.20 119.98
Last column: nearest neighbours and their distance in Å.
Fractional coordinates of all 12 atoms:
Pr (0.0934, 0.4304, 0.7865)  2 Rh 2.92-2.95, 1 P 2.97, 1 Te 3.27
Pr (0.2344, 0.2344, 0.2129)  2 Rh 2.94, 1 P 2.97, 3 Te 3.26-3.27
Pr (0.4304, 0.0934, 0.7865)  2 Rh 2.92-2.95, 1 P 2.97, 1 Te 3.27
Pr (0.5696, 0.9066, 0.2135)  2 Rh 2.92-2.95, 1 P 2.97, 1 Te 3.27
Pr (0.7656, 0.7656, 0.7871)  2 Rh 2.94, 1 P 2.97, 3 Te 3.26-3.27
Pr (0.9066, 0.5696, 0.2135)  2 Rh 2.92-2.95, 1 P 2.97, 1 Te 3.27
Te (0.0000, 0.0000, 0.5000)  6 Pr 3.26-3.29
Te (0.3354, 0.6646, 0.5000)  6 Pr 3.27-3.28
Te (0.6646, 0.3354, 0.5000)  6 Pr 3.27-3.28
P (0.5000, 0.5000, 0.0000)  6 Pr 2.97
Rh (0.1673, 0.8327, 0.0000)  6 Pr 2.92-2.95
Rh (0.8327, 0.1673, 0.0000)  6 Pr 2.92-2.95

---

Below is crystalline Pr8Te4P3Rh at its relaxed geometry, with properties calculated at the PBE-GGA level.

Output
* ΔE_f (raw): -1.4027 eV per atom
* ρ: 6.42 g cm⁻³
* DOS(E_F): 10.03 states/eV per cell
* DFT total energy: -96.827 eV/cell

a b c (Å): 8.8741 8.8741 8.8741
angles (deg): 58.23 58.23 58.23
Last column: nearest neighbours and their distance in Å.
Fractional coordinates of all 16 atoms:
Pr (0.2382, 0.2382, 0.2382)  3 P 2.95, 3 Te 3.26
Pr (0.2400, 0.7372, 0.7372)  1 Rh 2.94, 2 P 2.95, 3 Te 3.25-3.27
Pr (0.2628, 0.2628, 0.7600)  1 Rh 2.94, 2 P 2.95, 3 Te 3.25-3.27
Pr (0.2628, 0.7600, 0.2628)  1 Rh 2.94, 2 P 2.95, 3 Te 3.25-3.27
Pr (0.7372, 0.2400, 0.7372)  1 Rh 2.94, 2 P 2.95, 3 Te 3.25-3.27
Pr (0.7372, 0.7372, 0.2400)  1 Rh 2.94, 2 P 2.95, 3 Te 3.25-3.27
Pr (0.7600, 0.2628, 0.2628)  1 Rh 2.94, 2 P 2.95, 3 Te 3.25-3.27
Pr (0.7618, 0.7618, 0.7618)  3 P 2.95, 3 Te 3.26
Te (0.0000, 0.0000, 0.0000)  6 Pr 3.27
Te (0.0000, 0.5000, 0.5000)  6 Pr 3.25-3.26
Te (0.5000, 0.0000, 0.5000)  6 Pr 3.25-3.26
Te (0.5000, 0.5000, 0.0000)  6 Pr 3.25-3.26
P (0.0000, 0.0000, 0.5000)  6 Pr 2.95
P (0.0000, 0.5000, 0.0000)  6 Pr 2.95
P (0.5000, 0.0000, 0.0000)  6 Pr 2.95
Rh (0.5000, 0.5000, 0.5000)  6 Pr 2.94

---

Below is crystalline Pr2ThP3Rh12 at its relaxed geometry, with properties calculated at the PBE-GGA level.

Output
* ρ: 9.25 g cm⁻³
* DOS(E_F): 14.18 states/eV per cell
* DFT total energy: -127.681 eV/cell

a b c (Å): 7.2214 7.2214 7.2214
angles (deg): 71.90 71.90 71.90
Last column: nearest neighbours and their distance in Å.
Fractional coordinates of all 18 atoms:
Pr (0.1005, 0.1005, 0.1005)  3 Rh 2.72
Pr (0.8995, 0.8995, 0.8995)  3 Rh 2.72
Th (0.5000, 0.5000, 0.5000)  6 Rh 2.66
P (0.0000, 0.5000, 0.5000)  6 Rh 2.23-2.30
P (0.5000, 0.0000, 0.5000)  6 Rh 2.23-2.30
P (0.5000, 0.5000, 0.0000)  6 Rh 2.23-2.30
Rh (0.1156, 0.6515, 0.6515)  1 P 2.23
Rh (0.1715, 0.1715, 0.5904)  2 P 2.30
Rh (0.1715, 0.5904, 0.1715)  2 P 2.30
Rh (0.3485, 0.3485, 0.8844)  1 P 2.23
Rh (0.3485, 0.8844, 0.3485)  1 P 2.23
Rh (0.4096, 0.8285, 0.8285)  2 P 2.30
Rh (0.5904, 0.1715, 0.1715)  2 P 2.30
Rh (0.6515, 0.1156, 0.6515)  1 P 2.23
Rh (0.6515, 0.6515, 0.1156)  1 P 2.23
Rh (0.8285, 0.4096, 0.8285)  2 P 2.30
Rh (0.8285, 0.8285, 0.4096)  2 P 2.30
Rh (0.8844, 0.3485, 0.3485)  1 P 2.23

---

Below is crystalline PrTh2P2Rh7 at its relaxed geometry, with properties calculated at the PBE-GGA level.

Output
* ρ: 10.45 g cm⁻³
* DOS(E_F): 5.71 states/eV per cell
* DFT total energy: -92.896 eV/cell

a b c (Å): 4.0472 4.0472 13.5918
angles (deg): 95.82 95.82 89.54
Last column: nearest neighbours and their distance in Å.
Fractional coordinates of all 12 atoms:
Pr (0.0000, 0.0000, 0.0000)  12 Rh 2.85-3.04
Th (0.1093, 0.1093, 0.3517)  9 Rh 2.99-3.22, 4 P 3.12-3.22
Th (0.8907, 0.8907, 0.6483)  9 Rh 2.99-3.22, 4 P 3.12-3.22
P (0.4151, 0.4151, 0.7486)  5 Rh 2.31
P (0.5849, 0.5849, 0.2514)  5 Rh 2.31
Rh (0.0565, 0.5559, 0.1683)  2 P 2.31
Rh (0.3729, 0.3729, 0.5773)  1 P 2.31
Rh (0.4441, 0.9435, 0.8317)  2 P 2.31
Rh (0.5000, 0.5000, 0.0000)  4 Pr 2.85-2.87, 8 Rh 3.04
Rh (0.5559, 0.0565, 0.1683)  2 P 2.31
Rh (0.6271, 0.6271, 0.4227)  1 P 2.31
Rh (0.9435, 0.4441, 0.8317)  2 P 2.31

---

Below is crystalline PrThP2Rh5 at its relaxed geometry, with properties calculated at the PBE-GGA level.

Output
* ρ: 8.75 g cm⁻³
* DOS(E_F): 2.84 states/eV per cell
* DFT total energy: -67.476 eV/cell

a b c (Å): 4.0957 4.0957 10.7431
angles (deg): 90.00 90.00 90.00
Last column: nearest neighbours and their distance in Å.
Fractional coordinates of all 9 atoms:
Pr (0.0000, 0.0000, 0.0000)  4 Rh 2.90
Th (0.0000, 0.0000, 0.5000)  8 Rh 2.93
P (0.5000, 0.5000, 0.2116)  5 Rh 2.27-2.28
P (0.5000, 0.5000, 0.7884)  5 Rh 2.27-2.28
Rh (0.0000, 0.5000, 0.3046)  2 P 2.28
Rh (0.0000, 0.5000, 0.6954)  2 P 2.28
Rh (0.5000, 0.0000, 0.3046)  2 P 2.28
Rh (0.5000, 0.0000, 0.6954)  2 P 2.28
Rh (0.5000, 0.5000, 0.0000)  2 P 2.27